## NiAsIrSe2 (GGA-PBE)

Data for an optimized crystal structure of NiAsIrSe2.

CIF file:
```
data_NiAsIrSe2
_chemical_formula_sum 'Ni1 As1 Ir1 Se2'
_cell_length_a 4.615
_cell_length_b 4.615
_cell_length_c 4.397
_cell_angle_alpha 90.00
_cell_angle_beta 90.00
_cell_angle_gamma 90.00
_space_group_name_H-M_alt 'P 4/m m m'
_space_group_IT_number 123
_space_group_name_Hall '-P 4 2'
loop_
_atom_site_label
_atom_site_type_symbol
_atom_site_fract_x
_atom_site_fract_y
_atom_site_fract_z
Ni1 Ni 0.000 0.000 0.000
As1 As 0.000 0.000 0.500
Ir1 Ir 0.500 0.500 0.500
Se1 Se 0.000 0.500 0.000
```

Summary:
Excess energy over the best structure of this formula in the dataset ... 0 meV/atom
ρ ... 8.577 Mg/m³
Raw formation energy ... 0.8299 eV/atom